1.
# YHgPt2 (PBE-GGA, optimized geometry)
data_YHgPt2
_space_group_name_H-M_alt 'P 1'
_space_group_IT_number 1
_space_group_name_Hall 'P 1'
_cell_length_a 4.816
_cell_length_b 4.816
_cell_length_c 4.816
_cell_angle_alpha 60.00
_cell_angle_beta 60.00
_cell_angle_gamma 60.00
loop_
_atom_site_label
_atom_site_type_symbol
_atom_site_fract_x
_atom_site_fract_y
_atom_site_fract_z
Hg1 Hg 0.500 0.500 0.500
Pt1 Pt 0.000 0.000 0.000
Pt2 Pt 0.250 0.250 0.250
Y1 Y 0.750 0.750 0.750
# **Crystal system**: cubic
# **Energy relative to the elements**: -577 meV per atom
# **Space group**: F-43m, No. 216
# **Energy**: -5.289 eV/atom
# **Fermi-level density of states**: 1.21 states/eV/cell

2.
# YHgPt2 (PBE-GGA, optimized geometry)
data_YHgPt2
_space_group_name_H-M_alt 'P 1'
_space_group_IT_number 1
_space_group_name_Hall 'P 1'
_cell_length_a 5.122
_cell_length_b 5.122
_cell_length_c 5.122
_cell_angle_alpha 129.89
_cell_angle_beta 129.91
_cell_angle_gamma 73.56
loop_
_atom_site_label
_atom_site_type_symbol
_atom_site_fract_x
_atom_site_fract_y
_atom_site_fract_z
Y1 Y 0.750 0.250 0.500
Hg1 Hg 0.250 0.750 0.500
Pt1 Pt 0.000 0.000 0.000
Pt2 Pt 0.500 0.500 0.000
# **Crystal system**: tetragonal
# **Energy relative to the elements**: -733 meV per atom
# **Space group**: I4/mmm, No. 139
# **Energy**: -5.445 eV/atom
# **Fermi-level density of states**: 1.68 states/eV/cell

3.
# Y2Hg2Pt (PBE-GGA, optimized geometry)
data_Y2Hg2Pt
_space_group_name_H-M_alt 'P 1'
_space_group_IT_number 1
_space_group_name_Hall 'P 1'
_cell_length_a 7.546
_cell_length_b 7.546
_cell_length_c 4.680
_cell_angle_alpha 90.00
_cell_angle_beta 90.00
_cell_angle_gamma 90.00
loop_
_atom_site_label
_atom_site_type_symbol
_atom_site_fract_x
_atom_site_fract_y
_atom_site_fract_z
Y1 Y 0.331 0.831 0.000
Y2 Y 0.831 0.669 0.000
Y3 Y 0.669 0.169 0.000
Y4 Y 0.169 0.331 0.000
Hg1 Hg 0.141 0.641 0.500
Hg2 Hg 0.641 0.859 0.500
Hg3 Hg 0.859 0.359 0.500
Hg4 Hg 0.359 0.141 0.500
Pt1 Pt 0.000 0.000 0.000
Pt2 Pt 0.500 0.500 0.000
# **Crystal system**: tetragonal
# **Energy relative to the elements**: -398 meV per atom
# **Space group**: P4/mbm, No. 127
# **Energy**: -4.312 eV/atom
# **Energy above the lowest structure with this stoichiometry**: 86 meV/atom
# **Fermi-level density of states**: 7.01 states/eV/cell

4.
# YHgPt2 (PBE-GGA, optimized geometry)
data_YHgPt2
_space_group_name_H-M_alt 'P 1'
_space_group_IT_number 1
_space_group_name_Hall 'P 1'
_cell_length_a 4.257
_cell_length_b 4.257
_cell_length_c 9.968
_cell_angle_alpha 77.67
_cell_angle_beta 77.67
_cell_angle_gamma 90.00
loop_
_atom_site_label
_atom_site_type_symbol
_atom_site_fract_x
_atom_site_fract_y
_atom_site_fract_z
Y1 Y 0.500 0.500 0.000
Y2 Y 0.250 0.750 0.500
Hg1 Hg 0.000 0.000 0.000
Hg2 Hg 0.750 0.250 0.500
Pt1 Pt 0.636 0.125 0.250
Pt2 Pt 0.114 0.625 0.250
Pt3 Pt 0.375 0.364 0.750
Pt4 Pt 0.875 0.886 0.750
# **Crystal system**: tetragonal
# **Energy relative to the elements**: -311 meV per atom
# **Space group**: I-42d, No. 122
# **Energy**: -5.023 eV/atom
# **Fermi-level density of states**: 4.73 states/eV/cell

5.
# YHgPt (PBE-GGA, optimized geometry)
data_YHgPt
_space_group_name_H-M_alt 'P 1'
_space_group_IT_number 1
_space_group_name_Hall 'P 1'
_cell_length_a 5.033
_cell_length_b 5.033
_cell_length_c 5.975
_cell_angle_alpha 90.00
_cell_angle_beta 90.00
_cell_angle_gamma 119.97
loop_
_atom_site_label
_atom_site_type_symbol
_atom_site_fract_x
_atom_site_fract_y
_atom_site_fract_z
Y1 Y 0.667 0.833 0.750
Y2 Y 0.333 0.167 0.250
Hg1 Hg 0.000 0.500 0.000
Hg2 Hg 0.000 0.500 0.500
Pt1 Pt 0.333 0.167 0.750
Pt2 Pt 0.667 0.833 0.250
# **Crystal system**: hexagonal
# **Energy relative to the elements**: -823 meV per atom
# **Space group**: P6_3/mmc, No. 194
# **Energy**: -5.092 eV/atom
# **Fermi-level density of states**: 2.95 states/eV/cell

6.
# Y3HgPt2 (PBE-GGA, optimized geometry)
data_Y3HgPt2
_space_group_name_H-M_alt 'P 1'
_space_group_IT_number 1
_space_group_name_Hall 'P 1'
_cell_length_a 3.532
_cell_length_b 5.106
_cell_length_c 7.996
_cell_angle_alpha 108.62
_cell_angle_beta 90.00
_cell_angle_gamma 90.00
loop_
_atom_site_label
_atom_site_type_symbol
_atom_site_fract_x
_atom_site_fract_y
_atom_site_fract_z
Y1 Y 0.500 0.500 0.000
Y2 Y 0.500 0.824 0.648
Y3 Y 0.500 0.176 0.352
Hg1 Hg 0.000 0.000 0.000
Pt1 Pt 0.000 0.339 0.679
Pt2 Pt 0.000 0.661 0.321
# **Crystal system**: orthorhombic
# **Energy relative to the elements**: -955 meV per atom
# **Space group**: Cmmm, No. 65
# **Energy**: -6.251 eV/atom
# **Fermi-level density of states**: 4.12 states/eV/cell

7.
# YHgPt2 (PBE-GGA, optimized geometry)
data_YHgPt2
_space_group_name_H-M_alt 'P 1'
_space_group_IT_number 1
_space_group_name_Hall 'P 1'
_cell_length_a 3.587
_cell_length_b 3.658
_cell_length_c 7.047
_cell_angle_alpha 58.72
_cell_angle_beta 90.00
_cell_angle_gamma 90.00
loop_
_atom_site_label
_atom_site_type_symbol
_atom_site_fract_x
_atom_site_fract_y
_atom_site_fract_z
Y1 Y 0.500 0.250 0.250
Hg1 Hg 0.500 0.750 0.750
Pt1 Pt 0.000 0.006 0.994
Pt2 Pt 0.000 0.494 0.506
# **Crystal system**: orthorhombic
# **Energy relative to the elements**: -738 meV per atom
# **Space group**: Pmmm, No. 47
# **Energy**: -5.450 eV/atom
# **Fermi-level density of states**: 0.84 states/eV/cell

8.
# YHg2Pt (PBE-GGA, optimized geometry)
data_YHg2Pt
_space_group_name_H-M_alt 'P 1'
_space_group_IT_number 1
_space_group_name_Hall 'P 1'
_cell_length_a 4.925
_cell_length_b 4.925
_cell_length_c 4.925
_cell_angle_alpha 60.00
_cell_angle_beta 60.00
_cell_angle_gamma 60.00
loop_
_atom_site_label
_atom_site_type_symbol
_atom_site_fract_x
_atom_site_fract_y
_atom_site_fract_z
Y1 Y 0.000 0.000 0.000
Hg1 Hg 0.250 0.250 0.250
Hg2 Hg 0.750 0.750 0.750
Pt1 Pt 0.500 0.500 0.500
# **Crystal system**: cubic
# **Energy relative to the elements**: -461 meV per atom
# **Space group**: Fm-3m, No. 225
# **Energy**: -3.738 eV/atom
# **Fermi-level density of states**: 2.17 states/eV/cell

9.
# YHg3Pt8 (PBE-GGA, optimized geometry)
data_YHg3Pt8
_space_group_name_H-M_alt 'P 1'
_space_group_IT_number 1
_space_group_name_Hall 'P 1'
_cell_length_a 5.398
_cell_length_b 5.398
_cell_length_c 9.344
_cell_angle_alpha 73.21
_cell_angle_beta 73.21
_cell_angle_gamma 60.00
loop_
_atom_site_label
_atom_site_type_symbol
_atom_site_fract_x
_atom_site_fract_y
_atom_site_fract_z
Y1 Y 0.876 0.876 0.371
Hg1 Hg 0.374 0.374 0.878
Hg2 Hg 0.001 0.001 0.996
Hg3 Hg 0.497 0.497 0.508
Pt1 Pt 0.936 0.438 0.189
Pt2 Pt 0.438 0.938 0.685
Pt3 Pt 0.438 0.438 0.189
Pt4 Pt 0.938 0.938 0.685
Pt5 Pt 0.188 0.188 0.437
Pt6 Pt 0.688 0.688 0.937
Pt7 Pt 0.438 0.936 0.189
Pt8 Pt 0.938 0.438 0.685
# **Crystal system**: trigonal
# **Energy relative to the elements**: -303 meV per atom
# **Space group**: R3m, No. 160
# **Energy**: -4.944 eV/atom
# **Fermi-level density of states**: 12.28 states/eV/cell

10.
# Y4Hg5Pt2 (PBE-GGA, optimized geometry)
data_Y4Hg5Pt2
_space_group_name_H-M_alt 'P 1'
_space_group_IT_number 1
_space_group_name_Hall 'P 1'
_cell_length_a 3.614
_cell_length_b 7.684
_cell_length_c 9.691
_cell_angle_alpha 93.79
_cell_angle_beta 90.00
_cell_angle_gamma 90.00
loop_
_atom_site_label
_atom_site_type_symbol
_atom_site_fract_x
_atom_site_fract_y
_atom_site_fract_z
Y1 Y 0.500 0.775 0.561
Y2 Y 0.500 0.178 0.854
Y3 Y 0.500 0.225 0.439
Y4 Y 0.500 0.822 0.146
Hg1 Hg 0.000 0.542 0.328
Hg2 Hg 0.000 0.172 0.141
Hg3 Hg 0.000 0.500 0.000
Hg4 Hg 0.000 0.828 0.859
Hg5 Hg 0.000 0.458 0.672
Pt1 Pt 0.000 0.074 0.638
Pt2 Pt 0.000 0.926 0.362
# **Crystal system**: monoclinic
# **Energy relative to the elements**: -698 meV per atom
# **Space group**: P2/m, No. 10
# **Energy**: -4.284 eV/atom
# **Fermi-level density of states**: 7.73 states/eV/cell

11.
# Y3Hg2Pt (PBE-GGA, optimized geometry)
data_Y3Hg2Pt
_space_group_name_H-M_alt 'P 1'
_space_group_IT_number 1
_space_group_name_Hall 'P 1'
_cell_length_a 3.637
_cell_length_b 3.637
_cell_length_c 11.043
_cell_angle_alpha 90.00
_cell_angle_beta 90.00
_cell_angle_gamma 90.00
loop_
_atom_site_label
_atom_site_type_symbol
_atom_site_fract_x
_atom_site_fract_y
_atom_site_fract_z
Y1 Y 0.000 0.000 0.000
Y2 Y 0.000 0.000 0.650
Y3 Y 0.000 0.000 0.350
Hg1 Hg 0.500 0.500 0.830
Hg2 Hg 0.500 0.500 0.170
Pt1 Pt 0.500 0.500 0.500
# **Crystal system**: tetragonal
# **Energy relative to the elements**: -742 meV per atom
# **Space group**: P4/mmm, No. 123
# **Energy**: -5.081 eV/atom
# **Fermi-level density of states**: 4.53 states/eV/cell

12.
# Y5Hg4Pt (PBE-GGA, optimized geometry)
data_Y5Hg4Pt
_space_group_name_H-M_alt 'P 1'
_space_group_IT_number 1
_space_group_name_Hall 'P 1'
_cell_length_a 3.666
_cell_length_b 3.666
_cell_length_c 18.557
_cell_angle_alpha 90.00
_cell_angle_beta 90.00
_cell_angle_gamma 90.00
loop_
_atom_site_label
_atom_site_type_symbol
_atom_site_fract_x
_atom_site_fract_y
_atom_site_fract_z
Y1 Y 0.500 0.500 0.088
Y2 Y 0.500 0.500 0.294
Y3 Y 0.500 0.500 0.500
Y4 Y 0.500 0.500 0.706
Y5 Y 0.500 0.500 0.912
Hg1 Hg 0.000 0.000 0.195
Hg2 Hg 0.000 0.000 0.398
Hg3 Hg 0.000 0.000 0.602
Hg4 Hg 0.000 0.000 0.805
Pt1 Pt 0.000 0.000 0.000
# **Crystal system**: tetragonal
# **Energy relative to the elements**: -648 meV per atom
# **Space group**: P4/mmm, No. 123
# **Energy**: -4.605 eV/atom
# **Fermi-level density of states**: 8.02 states/eV/cell

13.
# Y2Hg2Pt (PBE-GGA, optimized geometry)
data_Y2Hg2Pt
_space_group_name_H-M_alt 'P 1'
_space_group_IT_number 1
_space_group_name_Hall 'P 1'
_cell_length_a 7.579
_cell_length_b 7.579
_cell_length_c 4.163
_cell_angle_alpha 90.00
_cell_angle_beta 90.00
_cell_angle_gamma 90.00
loop_
_atom_site_label
_atom_site_type_symbol
_atom_site_fract_x
_atom_site_fract_y
_atom_site_fract_z
Y1 Y 0.172 0.672 0.500
Y2 Y 0.672 0.828 0.500
Y3 Y 0.828 0.328 0.500
Y4 Y 0.328 0.172 0.500
Hg1 Hg 0.366 0.866 0.000
Hg2 Hg 0.866 0.634 0.000
Hg3 Hg 0.634 0.134 0.000
Hg4 Hg 0.134 0.366 0.000
Pt1 Pt 0.000 0.000 0.000
Pt2 Pt 0.500 0.500 0.000
# **Crystal system**: tetragonal
# **Energy relative to the elements**: -484 meV per atom
# **Space group**: P4/mbm, No. 127
# **Energy**: -4.398 eV/atom
# **Energy above the lowest structure with this stoichiometry**: 0 meV/atom
# **Fermi-level density of states**: 9.26 states/eV/cell